Sb2BrCl: relaxed, PBE.

Unit cell a=6.128 b=6.128 c=6.334 alpha=102.38 beta=102.38 gamma=39.90
Fractional coordinates of all 4 atoms:
1 Sb 0.000 0.000 0.000
2 Sb 0.599 0.599 0.313
3 Br 0.196 0.196 0.863
4 Cl 0.423 0.423 0.465

Output
Its symmetry is No. 8. As for the energy above the most stable polymorph in this dataset: 0 meV per atom. The final energy is -13.3 eV/cell.

Sb2BrCl: relaxed, PBE.

Unit cell a=3.585 b=3.585 c=10.730 alpha=90.00 beta=90.00 gamma=122.75
Fractional coordinates of all 4 atoms:
1 Sb 0.000 0.000 0.000
2 Sb 0.500 0.500 0.254
3 Br 0.000 0.000 0.464
4 Cl 0.500 0.500 0.803

Output
Its symmetry is No. 35. As for the energy above the most stable polymorph in this dataset: 328 meV per atom. The final energy is -12.0 eV/cell.